K2In5Hg3: relaxed, PBE.

Cell lengths 5.031, 5.031, 12.365 Å; angles 90.00, 90.00, 90.00 degrees
Sites, in units of the cell vectors:
In: 0.000 0.500 0.136
In: 0.500 0.500 0.500
In: 0.500 0.000 0.864
In: 0.500 0.500 0.000
In: 0.000 0.000 0.000
Hg: 0.500 0.000 0.633
Hg: 0.000 0.500 0.367
Hg: 0.000 0.000 0.500
K: 0.500 0.000 0.256
K: 0.000 0.500 0.744

Output
Its energy relative to the elements is -0.130 eV per atom. The symmetry is No. 115.